No. 1
A geometry-optimized TiAg8S6 structure. Source: Alexandria, functional PBEsol.

```
data_TiAg8S6
_space_group_name_H-M_alt 'P 1'
_space_group_IT_number 1
_cell_length_a 7.377
_cell_length_b 10.294
_cell_length_c 14.908
_cell_angle_alpha 90.00
_cell_angle_beta 90.00
_cell_angle_gamma 90.00
loop_
_space_group_symop_operation_xyz
'x,y,z'
loop_
_atom_site_label
_atom_site_fract_x
_atom_site_fract_y
_atom_site_fract_z
_atom_site_occupancy
Ag1 0.585 0.835 0.598 1
Ag2 0.889 0.211 0.737 1
Ag3 0.018 0.805 0.724 1
Ag4 0.022 0.242 0.476 1
Ag5 0.915 0.835 0.098 1
Ag6 0.982 0.305 0.276 1
Ag7 0.562 0.021 0.748 1
Ag8 0.938 0.021 0.248 1
Ag9 0.122 0.699 0.907 1
Ag10 0.750 0.488 0.866 1
Ag11 0.478 0.242 0.976 1
Ag12 0.750 0.488 0.366 1
Ag13 0.085 0.335 0.902 1
Ag14 0.878 0.199 0.093 1
Ag15 0.978 0.742 0.524 1
Ag16 0.722 0.014 0.967 1
Ag17 0.250 0.988 0.634 1
Ag18 0.389 0.711 0.763 1
Ag19 0.611 0.211 0.237 1
Ag20 0.778 0.014 0.467 1
Ag21 0.278 0.514 0.033 1
Ag22 0.482 0.805 0.224 1
Ag23 0.111 0.711 0.263 1
Ag24 0.250 0.988 0.134 1
Ag25 0.438 0.521 0.252 1
Ag26 0.378 0.699 0.407 1
Ag27 0.062 0.521 0.752 1
Ag28 0.518 0.305 0.776 1
Ag29 0.622 0.199 0.593 1
Ag30 0.415 0.335 0.402 1
Ag31 0.222 0.514 0.533 1
Ag32 0.522 0.742 0.024 1
S1 0.761 0.655 0.248 1
S2 0.307 0.135 0.500 1
S3 0.029 0.406 0.125 1
S4 0.984 0.385 0.619 1
S5 0.811 0.006 0.635 1
S6 0.239 0.155 0.752 1
S7 0.689 0.006 0.135 1
S8 0.739 0.655 0.748 1
S9 0.311 0.506 0.865 1
S10 0.807 0.635 0.000 1
S11 0.261 0.155 0.252 1
S12 0.238 0.751 0.108 1
S13 0.471 0.406 0.625 1
S14 0.693 0.635 0.500 1
S15 0.971 0.906 0.875 1
S16 0.484 0.885 0.881 1
S17 0.529 0.906 0.375 1
S18 0.189 0.506 0.365 1
S19 0.516 0.385 0.119 1
S20 0.738 0.251 0.392 1
S21 0.193 0.135 0.000 1
S22 0.762 0.251 0.892 1
S23 0.262 0.751 0.608 1
S24 0.016 0.885 0.381 1
Ti1 0.265 0.017 0.373 1
Ti2 0.235 0.017 0.873 1
Ti3 0.765 0.517 0.127 1
Ti4 0.735 0.517 0.627 1
```

* formation energy (no corrections): -0.2765 eV per atom
* SG: Pna2_1 (33)

No. 2
A geometry-optimized Co2TcBr structure. Source: Alexandria, functional PBEsol.

```
data_Co2TcBr
_space_group_name_H-M_alt 'P 1'
_space_group_IT_number 1
_cell_length_a 2.753
_cell_length_b 2.753
_cell_length_c 8.271
_cell_angle_alpha 90.00
_cell_angle_beta 90.00
_cell_angle_gamma 115.69
loop_
_space_group_symop_operation_xyz
'x,y,z'
loop_
_atom_site_label
_atom_site_fract_x
_atom_site_fract_y
_atom_site_fract_z
_atom_site_occupancy
Br1 0.500 0.500 0.000 1
Tc1 0.500 0.500 0.500 1
Co1 0.000 0.000 0.268 1
Co2 0.000 0.000 0.732 1
```

* N(E_F): 1.544 states/eV per atom
* formation energy (no corrections): 0.7351 eV per atom
* SG: Cmmm (65)
* excess energy over the best structure of this formula in the dataset: 0.000 eV per atom

No. 3
A geometry-optimized ZnTe2Au structure. Source: Alexandria, functional PBEsol.

```
data_ZnTe2Au
_space_group_name_H-M_alt 'P 1'
_space_group_IT_number 1
_cell_length_a 6.119
_cell_length_b 6.119
_cell_length_c 7.463
_cell_angle_alpha 114.20
_cell_angle_beta 114.20
_cell_angle_gamma 90.00
loop_
_space_group_symop_operation_xyz
'x,y,z'
loop_
_atom_site_label
_atom_site_fract_x
_atom_site_fract_y
_atom_site_fract_z
_atom_site_occupancy
Te1 0.382 0.875 0.250 1
Te2 0.625 0.618 0.750 1
Te3 0.868 0.375 0.250 1
Te4 0.125 0.132 0.750 1
Zn1 0.500 0.500 0.000 1
Zn2 0.750 0.250 0.500 1
Au1 0.000 0.000 0.000 1
Au2 0.250 0.750 0.500 1
```

* N(E_F): 0.613 states/eV per atom
* formation energy (no corrections): -0.1328 eV per atom
* SG: I-42d (122)

No. 4
A geometry-optimized LiTa2As structure. Source: Alexandria, functional PBEsol.

```
data_LiTa2As
_space_group_name_H-M_alt 'P 1'
_space_group_IT_number 1
_cell_length_a 2.892
_cell_length_b 2.892
_cell_length_c 8.557
_cell_angle_alpha 90.00
_cell_angle_beta 90.00
_cell_angle_gamma 105.69
loop_
_space_group_symop_operation_xyz
'x,y,z'
loop_
_atom_site_label
_atom_site_fract_x
_atom_site_fract_y
_atom_site_fract_z
_atom_site_occupancy
Ta1 0.500 0.500 0.733 1
Ta2 0.000 0.000 0.986 1
Li1 0.500 0.500 0.275 1
As1 0.000 0.000 0.506 1
```

* uncorrected energy: -32.511 eV/cell
* N(E_F): 0.422 states/eV per atom
* SG: Cmm2 (35)

No. 5
A geometry-optimized BaMgTaCl2 structure. Source: Alexandria, functional PBEsol.

```
data_BaMgTaCl2
_space_group_name_H-M_alt 'P 1'
_space_group_IT_number 1
_cell_length_a 4.956
_cell_length_b 4.956
_cell_length_c 5.853
_cell_angle_alpha 90.00
_cell_angle_beta 90.00
_cell_angle_gamma 90.00
loop_
_space_group_symop_operation_xyz
'x,y,z'
loop_
_atom_site_label
_atom_site_fract_x
_atom_site_fract_y
_atom_site_fract_z
_atom_site_occupancy
Mg1 0.000 0.000 0.000 1
Ba1 0.500 0.500 0.500 1
Cl1 0.500 0.000 0.000 1
Cl2 0.000 0.500 0.000 1
Ta1 0.000 0.000 0.500 1
```

* N(E_F): 0.740 states/eV per atom
* formation energy (no corrections): 0.0785 eV per atom
* SG: P4/mmm (123)

No. 6
A geometry-optimized Mg2PtCl structure. Source: Alexandria, functional PBEsol.

```
data_Mg2PtCl
_space_group_name_H-M_alt 'P 1'
_space_group_IT_number 1
_cell_length_a 3.767
_cell_length_b 3.767
_cell_length_c 5.415
_cell_angle_alpha 90.00
_cell_angle_beta 90.00
_cell_angle_gamma 90.00
loop_
_space_group_symop_operation_xyz
'x,y,z'
loop_
_atom_site_label
_atom_site_fract_x
_atom_site_fract_y
_atom_site_fract_z
_atom_site_occupancy
Mg1 0.000 0.000 0.875 1
Mg2 0.500 0.500 0.375 1
Cl1 0.500 0.500 0.875 1
Pt1 0.000 0.000 0.375 1
```

* N(E_F): 0.451 states/eV per atom
* formation energy (no corrections): -0.6567 eV per atom
* SG: P4/mmm (123)